[1]
VASP calculation (PBE-GGA) on KLiAg2F4 after structural relaxation.

Properties
E_form (uncorrected): -1.8398 eV per atom
space-group type: C2/c, No. 15
crystal system: monoclinic

Cell: 7.115 7.115 6.988 Å, 119.22 119.22 92.10°
Fractional positions:
1 K 0.000 0.500 0.000
2 K 0.500 0.000 0.500
3 Li 0.000 0.000 0.000
4 Li 0.000 0.000 0.500
5 Ag 0.000 0.500 0.500
6 Ag 0.500 0.000 0.000
7 Ag 0.500 0.500 0.000
8 Ag 0.500 0.500 0.500
9 F 0.194 0.805 0.515
10 F 0.195 0.806 0.985
11 F 0.238 0.242 0.906
12 F 0.242 0.238 0.406
13 F 0.758 0.762 0.594
14 F 0.762 0.758 0.094
15 F 0.805 0.194 0.015
16 F 0.806 0.195 0.485

***

[2]
VASP calculation (PBE-GGA) on HoTm2ThSc4 after structural relaxation.

Properties
DOS(E_F): 1.5658 states/eV per atom
space-group type: P4/mmm, No. 123
formation energy from the elements: 41 meV per atom
crystal system: tetragonal

Cell: 4.907 4.907 9.159 Å, 90.00 90.00 90.00°
Fractional positions:
1 Ho 0.000 0.000 0.000
2 Tm 0.000 0.000 0.500
3 Tm 0.500 0.500 0.000
4 Th 0.500 0.500 0.500
5 Sc 0.000 0.500 0.252
6 Sc 0.000 0.500 0.748
7 Sc 0.500 0.000 0.252
8 Sc 0.500 0.000 0.748

***

[3]
VASP calculation (PBE-GGA) on Pr5ErCd4 after structural relaxation.

Properties
DOS(E_F): 1.3450 states/eV per atom
space-group type: P4/mmm, No. 123
formation energy from the elements: -238 meV per atom
crystal system: tetragonal

Cell: 3.831 3.831 20.598 Å, 90.00 90.00 90.00°
Fractional positions:
1 Pr 0.000 0.000 0.000
2 Pr 0.000 0.000 0.192
3 Pr 0.000 0.000 0.384
4 Pr 0.000 0.000 0.616
5 Pr 0.000 0.000 0.808
6 Er 0.500 0.500 0.500
7 Cd 0.500 0.500 0.096
8 Cd 0.500 0.500 0.289
9 Cd 0.500 0.500 0.711
10 Cd 0.500 0.500 0.904

***

[4]
VASP calculation (PBE-GGA) on BaTc2P after structural relaxation.

Properties
DOS(E_F): 0.2638 states/eV per atom
space-group type: R3m, No. 160
formation energy from the elements: -248 meV per atom
crystal system: trigonal

Cell: 6.464 6.464 6.464 Å, 37.90 37.90 37.90°
Fractional positions:
1 Ba 0.000 0.000 0.000
2 Tc 0.505 0.505 0.505
3 Tc 0.809 0.809 0.809
4 P 0.202 0.202 0.202

***

[5]
VASP calculation (PBE-GGA) on AgMoRuBr2 after structural relaxation.

Properties
DOS(E_F): 1.9849 states/eV per atom
E_form (uncorrected): 2.1071 eV per atom
space-group type: P4/mmm, No. 123
crystal system: tetragonal

Cell: 4.922 4.922 5.309 Å, 90.00 90.00 90.00°
Fractional positions:
1 Ag 0.000 0.000 0.000
2 Mo 0.000 0.000 0.500
3 Ru 0.500 0.500 0.500
4 Br 0.000 0.500 0.000
5 Br 0.500 0.000 0.000

***

[6]
VASP calculation (PBE-GGA) on ScNbZn6 after structural relaxation.

Properties
DOS(E_F): 0.4836 states/eV per atom
space-group type: P4/mmm, No. 123
formation energy from the elements: -200 meV per atom
crystal system: tetragonal

Cell: 4.017 4.017 7.962 Å, 90.00 90.00 90.00°
Fractional positions:
1 Sc 0.000 0.000 0.000
2 Nb 0.000 0.000 0.500
3 Zn 0.000 0.500 0.258
4 Zn 0.000 0.500 0.742
5 Zn 0.500 0.000 0.258
6 Zn 0.500 0.000 0.742
7 Zn 0.500 0.500 0.000
8 Zn 0.500 0.500 0.500